# In5Ga2Ag12 | the Alexandria database | GGA-PBE | relaxed
data_In5Ga2Ag12
_cell_length_a 16.806
_cell_length_b 5.688
_cell_length_c 8.990
_cell_angle_alpha 90.00
_cell_angle_beta 106.28
_cell_angle_gamma 90.00
_space_group_name_H-M_alt 'C 1 2/m 1'
_space_group_IT_number 12
loop_
_space_group_symop_operation_xyz
'x,y,z'
'-x,-y,-z'
'-x,y,-z'
'x,-y,z'
'x+1/2,y+1/2,z'
'-x+1/2,-y+1/2,-z'
'-x+1/2,y+1/2,-z'
'x+1/2,-y+1/2,z'
loop_
_atom_site_label
_atom_site_fract_x
_atom_site_fract_y
_atom_site_fract_z
In1 0.000 0.000 0.000
In2 0.118 0.500 0.378
In3 0.203 0.500 0.888
Ga1 0.000 0.239 0.500
Ag1 0.027 0.500 0.858
Ag2 0.100 0.000 0.774
Ag3 0.145 0.251 0.112
Ag4 0.215 0.242 0.627
# ΔE_f ... 0.116 eV per atom
# VASP energy ... -51.760 eV per formula unit